# 1
Compound: La2MgAsOs
Source: Alexandria via LeMat-Bulk
Functional: GGA-PBEsol
Structure: relaxed

Structure (POSCAR):
```
La2MgAsOs
1.0
-2.0472 3.5350 -1.7265
-4.8647 -1.9105 1.8567
0.7362 2.7509 4.7595
La Mg Os As
2 1 1 1
direct
0.0000 0.5000 0.0000 La
0.0000 0.0000 0.5000 La
0.0000 0.0000 0.0000 Mg
0.5000 0.5000 0.5000 Os
0.5000 0.0000 0.0000 As
```

Results
DFT total energy	-24.4	eV for the cell shown
crystal system	tetragonal
SG	P4/mmm (123)
formation energy from the elements	1.066	eV per atom



# 2
Compound: LaMn2As
Source: Alexandria via LeMat-Bulk
Functional: GGA-PBEsol
Structure: relaxed

Structure (POSCAR):
```
LaMn2As
1.0
3.2932 0.0000 0.0000
0.0000 3.2932 0.0000
0.0000 0.0000 6.5312
La As Mn
1 1 2
direct
0.5000 0.5000 0.5000 La
0.5000 0.5000 0.0000 As
0.0000 0.0000 0.8162 Mn
0.0000 0.0000 0.1838 Mn
```

Results
DFT total energy	-29.4	eV for the cell shown
crystal system	tetragonal
SG	P4/mmm (123)
formation energy from the elements	0.135	eV per atom



# 3
Compound: LaMn2As
Source: Alexandria via LeMat-Bulk
Functional: GGA-PBEsol
Structure: relaxed

Structure (POSCAR):
```
LaMn2As
1.0
4.1527 0.0086 0.0000
-0.0636 4.1522 0.0000
-2.0445 -2.0804 4.4138
As Mn La
1 2 1
direct
0.5000 0.5000 0.0000 As
0.5000 0.0000 0.5000 Mn
0.0000 0.5000 0.5000 Mn
0.0000 0.0000 0.0000 La
```

Results
DFT total energy	-28.9	eV for the cell shown
crystal system	orthorhombic
SG	Fmmm (69)
formation energy from the elements	0.277	eV per atom



# 4
Compound: LaMnAs2
Source: Alexandria via LeMat-Bulk
Functional: GGA-PBEsol
Structure: relaxed

Structure (POSCAR):
```
LaMnAs2
1.0
3.9856 0.0000 0.0000
0.0000 3.9856 0.0000
0.0000 0.0000 5.9870
La As Mn
1 2 1
direct
0.0000 0.0000 0.4111 La
0.5000 0.5000 0.2998 As
0.0000 0.0000 0.8990 As
0.5000 0.5000 0.8901 Mn
```

Results
DFT total energy	-27.0	eV for the cell shown
crystal system	tetragonal
SG	P4mm (99)
formation energy from the elements	-0.408	eV per atom